(1)
Below is PuTePdAu after structural relaxation, with properties calculated at the PBE level.

- formation energy (no corrections) (meV/atom) = -486
- symmetry = F-43m, No. 216

CIF file:
```
data_PuTePdAu
_chemical_formula_sum 'Pu1 Te1 Pd1 Au1'
_cell_length_a 4.989
_cell_length_b 4.989
_cell_length_c 4.989
_cell_angle_alpha 60.00
_cell_angle_beta 60.00
_cell_angle_gamma 60.00
_symmetry_space_group_name_H-M 'P 1'
_symmetry_Int_Tables_number 1
_symmetry_space_group_name_Hall 'P 1'
loop_
_atom_site_label
_atom_site_type_symbol
_atom_site_fract_x
_atom_site_fract_y
_atom_site_fract_z
_atom_site_occupancy
Pu1 Pu 0.000 0.000 0.000 1
Te1 Te 0.750 0.750 0.750 1
Pd1 Pd 0.500 0.500 0.500 1
Au1 Au 0.250 0.250 0.250 1
```


(2)
Below is CaHfScAg2 after structural relaxation, with properties calculated at the PBE level.

- DFT formation energy (kcal/mol of atoms) = 13.898
- symmetry = P4/mmm, No. 123

CIF file:
```
data_CaHfScAg2
_chemical_formula_sum 'Ca1 Hf1 Sc1 Ag2'
_cell_length_a 5.284
_cell_length_b 5.284
_cell_length_c 5.065
_cell_angle_alpha 90.00
_cell_angle_beta 90.00
_cell_angle_gamma 90.00
_symmetry_space_group_name_H-M 'P 1'
_symmetry_Int_Tables_number 1
_symmetry_space_group_name_Hall 'P 1'
loop_
_atom_site_label
_atom_site_type_symbol
_atom_site_fract_x
_atom_site_fract_y
_atom_site_fract_z
_atom_site_occupancy
Ca1 Ca 0.000 0.000 0.000 1
Hf1 Hf 0.500 0.500 0.500 1
Sc1 Sc 0.500 0.500 0.000 1
Ag1 Ag 0.000 0.500 0.500 1
Ag2 Ag 0.500 0.000 0.500 1
```


(3)
Below is CdAgIr2 after structural relaxation, with properties calculated at the PBE level.

- DFT formation energy (kcal/mol of atoms) = 10.373
- symmetry = Cmmm, No. 65

CIF file:
```
data_CdAgIr2
_chemical_formula_sum 'Cd1 Ag1 Ir2'
_cell_length_a 5.078
_cell_length_b 5.078
_cell_length_c 2.803
_cell_angle_alpha 90.00
_cell_angle_beta 90.00
_cell_angle_gamma 113.73
_symmetry_space_group_name_H-M 'P 1'
_symmetry_Int_Tables_number 1
_symmetry_space_group_name_Hall 'P 1'
loop_
_atom_site_label
_atom_site_type_symbol
_atom_site_fract_x
_atom_site_fract_y
_atom_site_fract_z
_atom_site_occupancy
Cd1 Cd 0.000 0.000 0.000 1
Ag1 Ag 0.500 0.500 0.000 1
Ir1 Ir 0.000 0.500 0.500 1
Ir2 Ir 0.500 0.000 0.500 1
```


| no. | ρ (g/cm3) | total magnetic moment (μB per cell) |
| --- | --- | --- |
| 1 | 12.8 | 5.21 |
| 2 | 5.6 | 0.00 |
| 3 | 15.2 | 0.39 |